(1)
Crystalline AlAu3N at its relaxed geometry. Source: the Alexandria database, functional PBE.

Formation energy (no corrections) = 0.75 eV per atom
Relative energy among the computed polymorphs = 0 meV/atom
Symmetry = Pm-3m (221)
D(E_F) = 0.426 states/eV/atom

Geometry as POSCAR:
```
AlAu3N
1.0
-0.106 -3.122 -3.194
3.942 -1.567 1.401
-2.099 -2.785 2.791
Au Al N
3 1 1
direct
0.000 0.500 0.000 Au
0.000 0.000 0.500 Au
0.500 0.000 0.000 Au
0.500 0.500 0.500 Al
0.000 0.000 0.000 N
```

***

(2)
Crystalline LiTmMg2Se4 at its relaxed geometry. Source: the Alexandria database, functional PBE.

Formation energy (no corrections) = -1.44 eV per atom
Symmetry = P2/m (10)
D(E_F) = 0.000 states/eV/atom

Geometry as POSCAR:
```
LiTmMg2Se4
1.0
-0.534 -1.172 3.764
-4.039 -5.005 -2.132
6.384 -2.317 0.185
Li Tm Mg Se
1 1 2 4
direct
0.500 0.500 0.000 Li
0.000 0.000 0.000 Tm
0.500 0.000 0.500 Mg
0.000 0.500 0.500 Mg
0.500 0.256 0.252 Se
0.500 0.744 0.748 Se
0.000 0.246 0.738 Se
0.000 0.754 0.262 Se
```

***

(3)
Crystalline HgPt2W at its relaxed geometry. Source: the Alexandria database, functional PBE.

Energy relative to the elements = 0.15 eV per atom
Symmetry = P4mm (99)
D(E_F) = 0.792 states/eV/atom

Geometry as POSCAR:
```
HgPt2W
1.0
-0.134 2.222 1.793
-2.337 -1.117 1.210
4.747 -4.076 5.406
Hg Pt W
1 2 1
direct
0.500 0.500 0.751 Hg
0.000 0.000 0.010 Pt
0.500 0.500 0.260 Pt
0.000 0.000 0.479 W
```

***

(4)
Crystalline SrHf3Si at its relaxed geometry. Source: the Alexandria database, functional PBE.

Formation energy (no corrections) = 0.35 eV per atom
Relative energy among the computed polymorphs = 0 meV/atom
Symmetry = Pm-3m (221)
D(E_F) = 1.471 states/eV/atom

Geometry as POSCAR:
```
SrHf3Si
1.0
5.107 0.000 0.000
0.000 5.107 0.000
0.000 0.000 5.107
Sr Si Hf
1 1 3
direct
0.500 0.500 0.500 Sr
0.000 0.000 0.000 Si
0.000 0.500 0.000 Hf
0.000 0.000 0.500 Hf
0.500 0.000 0.000 Hf
```

***

(5)
Crystalline CoPOs at its relaxed geometry. Source: the Alexandria database, functional PBE.

Energy relative to the elements = 0.02 eV per atom
Relative energy among the computed polymorphs = 236 meV/atom
Symmetry = I4mm (107)
D(E_F) = 0.925 states/eV/atom

Geometry as POSCAR:
```
CoPOs
1.0
-4.184 2.567 -0.526
-4.709 -1.161 0.924
4.642 0.000 1.681
Co Os P
1 1 1
direct
0.020 0.020 0.000 Co
0.315 0.315 0.000 Os
0.665 0.665 0.000 P
```

***

(6)
Crystalline Sc3Ga3Rh2 at its relaxed geometry. Source: the Alexandria database, functional PBE.

Energy relative to the elements = -0.75 eV per atom
Symmetry = Pnma (62)
D(E_F) = 0.749 states/eV/atom

Geometry as POSCAR:
```
Sc3Ga3Rh2
1.0
-3.129 -1.028 4.189
1.696 -6.753 -0.391
12.094 2.479 9.641
Sc Ga Rh
12 12 8
direct
0.120 0.463 0.388 Sc
0.620 0.037 0.612 Sc
0.880 0.537 0.888 Sc
0.380 0.963 0.112 Sc
0.880 0.537 0.612 Sc
0.380 0.963 0.388 Sc
0.120 0.463 0.112 Sc
0.620 0.037 0.888 Sc
0.647 0.333 0.250 Sc
0.147 0.167 0.750 Sc
0.353 0.667 0.750 Sc
0.853 0.833 0.250 Sc
0.154 0.174 0.250 Ga
0.654 0.326 0.750 Ga
0.846 0.826 0.750 Ga
0.346 0.674 0.250 Ga
0.595 0.319 0.473 Ga
0.095 0.181 0.527 Ga
0.405 0.681 0.973 Ga
0.905 0.819 0.027 Ga
0.405 0.681 0.527 Ga
0.905 0.819 0.473 Ga
0.595 0.319 0.027 Ga
0.095 0.181 0.973 Ga
0.872 0.116 0.381 Rh
0.372 0.384 0.619 Rh
0.128 0.884 0.881 Rh
0.628 0.616 0.119 Rh
0.128 0.884 0.619 Rh
0.628 0.616 0.381 Rh
0.872 0.116 0.119 Rh
0.372 0.384 0.881 Rh
```

***

(7)
Crystalline CeGaSb at its relaxed geometry. Source: the Alexandria database, functional PBE.

Formation energy (no corrections) = -0.53 eV per atom
Relative energy among the computed polymorphs = 0 meV/atom
Symmetry = P3m1 (156)
D(E_F) = 2.409 states/eV/atom

Geometry as POSCAR:
```
CeGaSb
1.0
-2.088 -2.314 2.699
-1.856 -2.436 -3.525
4.023 -1.381 1.929
Sb Ga Ce
1 1 1
direct
0.568 0.333 0.667 Sb
0.404 0.667 0.333 Ga
0.028 0.000 0.000 Ce
```

***

(8)
Crystalline Nd2In3Hg at its relaxed geometry. Source: the Alexandria database, functional PBE.

Energy relative to the elements = -0.46 eV per atom
Relative energy among the computed polymorphs = 4 meV/atom
Symmetry = Fmmm (69)
D(E_F) = 0.621 states/eV/atom

Geometry as POSCAR:
```
Nd2In3Hg
1.0
-3.879 1.576 -4.636
3.712 -4.451 -2.332
-5.481 -4.573 6.097
Nd In Hg
4 6 2
direct
0.250 0.750 0.500 Nd
0.747 0.747 0.000 Nd
0.750 0.250 0.500 Nd
0.253 0.253 0.000 Nd
0.334 0.833 0.167 In
0.167 0.666 0.833 In
0.666 0.167 0.833 In
0.833 0.334 0.167 In
0.167 0.167 0.335 In
0.833 0.833 0.665 In
0.667 0.667 0.334 Hg
0.333 0.333 0.666 Hg
```

***

(9)
Crystalline BaGaSiAu2 at its relaxed geometry. Source: the Alexandria database, functional PBE.

Formation energy (no corrections) = 0.04 eV per atom
Relative energy among the computed polymorphs = 342 meV/atom
Symmetry = P4/mmm (123)
D(E_F) = 0.922 states/eV/atom

Geometry as POSCAR:
```
BaGaSiAu2
1.0
-1.582 1.551 4.297
-2.100 -5.616 1.254
4.257 -1.149 1.982
Si Au Ba Ga
1 2 1 1
direct
0.000 0.000 0.000 Si
0.000 0.000 0.500 Au
0.500 0.000 0.000 Au
0.000 0.500 0.000 Ba
0.500 0.500 0.500 Ga
```

***

(10)
Crystalline Ca2PIr at its relaxed geometry. Source: the Alexandria database, functional PBE.

Energy relative to the elements = -0.42 eV per atom
Symmetry = Cmmm (65)
D(E_F) = 0.458 states/eV/atom

Geometry as POSCAR:
```
Ca2PIr
1.0
5.012 0.021 0.003
-1.132 4.883 0.003
-0.001 -0.002 3.285
Ca Ir P
2 1 1
direct
0.000 0.000 0.000 Ca
0.500 0.500 0.000 Ca
0.500 0.000 0.500 Ir
0.000 0.500 0.500 P
```

***

(11)
Crystalline GaSb2HPb at its relaxed geometry. Source: the Alexandria database, functional PBE.

Total energy = -17.7 eV/cell
Symmetry = P4/mmm (123)
D(E_F) = 0.342 states/eV/atom

Geometry as POSCAR:
```
GaSb2HPb
1.0
5.865 0.000 0.000
0.000 5.865 0.000
0.000 0.000 3.387
Pb Sb Ga H
1 2 1 1
direct
0.500 0.500 0.500 Pb
0.000 0.500 0.000 Sb
0.500 0.000 0.000 Sb
0.000 0.000 0.000 Ga
0.000 0.000 0.500 H
```

***

(12)
Crystalline GeSbAu2 at its relaxed geometry. Source: the Alexandria database, functional PBE.

Formation energy (no corrections) = 0.10 eV per atom
Relative energy among the computed polymorphs = 95 meV/atom
Symmetry = I-42d (122)
D(E_F) = 0.455 states/eV/atom

Geometry as POSCAR:
```
GeSbAu2
1.0
-6.760 1.423 3.122
-2.956 -5.917 -3.704
-4.167 -4.039 2.021
Sb Ge Au
2 2 4
direct
0.000 0.000 0.000 Sb
0.750 0.250 0.500 Sb
0.500 0.500 0.000 Ge
0.250 0.750 0.500 Ge
0.608 0.125 0.250 Au
0.142 0.625 0.250 Au
0.375 0.392 0.750 Au
0.875 0.858 0.750 Au
```

***

(13)
Crystalline TeAs5 at its relaxed geometry. Source: the Alexandria database, functional PBE.

Formation energy (no corrections) = 0.13 eV per atom
Relative energy among the computed polymorphs = 2 meV/atom
Symmetry = Cmmm (65)
D(E_F) = 0.409 states/eV/atom

Geometry as POSCAR:
```
TeAs5
1.0
1.970 -6.020 0.000
1.970 6.020 0.000
0.000 0.000 5.673
Te As
1 5
direct
0.000 0.000 0.500 Te
0.000 0.000 0.000 As
0.331 0.669 0.000 As
0.669 0.331 0.000 As
0.323 0.677 0.500 As
0.677 0.323 0.500 As
```

***

(14)
Crystalline LiTaRh2 at its relaxed geometry. Source: the Alexandria database, functional PBE.

Energy relative to the elements = 0.05 eV per atom
Relative energy among the computed polymorphs = 603 meV/atom
Symmetry = R3m (160)
D(E_F) = 1.124 states/eV/atom

Geometry as POSCAR:
```
LiTaRh2
1.0
-7.213 -3.014 -5.191
-7.432 -4.830 -3.082
-8.624 -2.314 -2.886
Li Rh Ta
1 2 1
direct
0.744 0.744 0.744 Li
0.000 0.000 0.000 Rh
0.252 0.252 0.252 Rh
0.505 0.505 0.505 Ta
```

***

(15)
Crystalline DyCdGa2Au2 at its relaxed geometry. Source: the Alexandria database, functional PBE.

Energy relative to the elements = -0.50 eV per atom
Symmetry = P-3m1 (164)
D(E_F) = 0.490 states/eV/atom

Geometry as POSCAR:
```
DyCdGa2Au2
1.0
-2.543 -0.144 3.752
4.067 -2.005 -0.061
2.870 5.755 2.165
Dy Cd Ga Au
1 1 2 2
direct
0.000 0.000 0.000 Dy
0.000 0.000 0.500 Cd
0.667 0.333 0.252 Ga
0.333 0.667 0.748 Ga
0.667 0.333 0.742 Au
0.333 0.667 0.258 Au
```

***

(16)
Crystalline NaTl8Bi2 at its relaxed geometry. Source: the Alexandria database, functional PBE.

Energy relative to the elements = 0.05 eV per atom
Relative energy among the computed polymorphs = 95 meV/atom
Symmetry = C2/m (12)
D(E_F) = 0.426 states/eV/atom

Geometry as POSCAR:
```
NaTl8Bi2
1.0
-3.901 -1.943 -3.559
4.970 -4.519 -5.171
-0.867 -7.860 3.052
Na Tl Bi
1 8 2
direct
0.000 0.000 0.000 Na
0.791 0.192 0.654 Tl
0.209 0.346 0.808 Tl
0.890 0.260 0.260 Tl
0.110 0.740 0.740 Tl
0.791 0.654 0.192 Tl
0.209 0.808 0.346 Tl
0.316 0.401 0.401 Tl
0.684 0.599 0.599 Tl
0.449 0.126 0.126 Bi
0.551 0.874 0.874 Bi
```

***

(17)
Crystalline CsSrAu4 at its relaxed geometry. Source: the Alexandria database, functional PBE.

Energy relative to the elements = -0.28 eV per atom
Symmetry = F-43m (216)
D(E_F) = 1.003 states/eV/atom

Geometry as POSCAR:
```
CsSrAu4
1.0
-3.873 -3.602 2.836
2.017 -4.124 3.866
-0.969 0.675 5.884
Cs Sr Au
1 1 4
direct
0.000 0.000 0.000 Cs
0.250 0.250 0.250 Sr
0.624 0.624 0.128 Au
0.624 0.128 0.624 Au
0.624 0.624 0.624 Au
0.128 0.624 0.624 Au
```

***

(18)
Crystalline CsSrGe2 at its relaxed geometry. Source: the Alexandria database, functional PBE.

Energy relative to the elements = 0.16 eV per atom
Relative energy among the computed polymorphs = 17 meV/atom
Symmetry = Fm-3m (225)
D(E_F) = 0.830 states/eV/atom

Geometry as POSCAR:
```
CsSrGe2
1.0
0.000 4.063 4.063
4.063 0.000 4.063
4.063 4.063 0.000
Cs Sr Ge
1 1 2
direct
0.500 0.500 0.500 Cs
0.000 0.000 0.000 Sr
0.250 0.250 0.250 Ge
0.750 0.750 0.750 Ge
```

***

(19)
Crystalline Ba6GeP2 at its relaxed geometry. Source: the Alexandria database, functional PBE.

Energy relative to the elements = -0.63 eV per atom
Symmetry = C2/m (12)
D(E_F) = 0.388 states/eV/atom

Geometry as POSCAR:
```
Ba6GeP2
1.0
-3.059 -5.191 -0.603
4.501 -6.571 3.330
-3.917 -2.210 8.499
Ba Ge P
6 1 2
direct
0.745 0.644 0.865 Ba
0.255 0.356 0.135 Ba
0.962 0.859 0.216 Ba
0.360 0.707 0.573 Ba
0.038 0.141 0.784 Ba
0.640 0.293 0.427 Ba
0.000 0.500 0.500 Ge
0.176 0.735 0.914 P
0.824 0.265 0.086 P
```

***

(20)
Crystalline RbCS2Cl at its relaxed geometry. Source: the Alexandria database, functional PBE.

Formation energy (no corrections) = 0.45 eV per atom
Relative energy among the computed polymorphs = 0 meV/atom
Symmetry = P4/mmm (123)
D(E_F) = 0.490 states/eV/atom

Geometry as POSCAR:
```
RbCS2Cl
1.0
-1.582 3.633 1.067
-2.002 0.179 -3.577
-6.329 -3.740 3.354
S C Rb Cl
2 1 1 1
direct
0.000 0.500 0.000 S
0.500 0.000 0.000 S
0.000 0.000 0.000 C
0.500 0.500 0.500 Rb
0.000 0.000 0.500 Cl
```